An optimized crystal structure of Hg2W2O7. Source: Alexandria via LeMat-Bulk, functional PBE+U.

Calculated values
Total DFT energy (no corrections) = -0.216 Ha/atom

Cell: 10.645 10.645 10.645 Å, 90.00 90.00 90.00°
Space group Fd-3m (No. 227, origin choice 2)
Asymmetric unit:
Hg (0.000, 0.000, 0.000) (multiplicity 16)
W (0.000, 0.000, 0.500) (multiplicity 16)
O (0.058, 0.375, 0.875) (multiplicity 48)
O (0.125, 0.125, 0.125) (multiplicity 8)